Entry from Alexandria: a relaxed structure of LaDyAg4 (PBE-GGA).

The structure in extended XYZ format:
```
6
Lattice="0.000 4.088 4.088 4.088 0.000 4.088 4.088 4.088 0.000" Properties=species:S:1:pos:R:3 pbc="T T T"
La 0.000 0.000 0.000
Dy 6.132 6.132 6.132
Ag 3.070 3.070 3.070
Ag 5.106 5.106 3.070
Ag 5.106 3.070 5.106
Ag 3.070 5.106 5.106
```

Spin magnetization: 0.0 μB/f.u.
V: 22.773 Å³/atom
Formation enthalpy at 0 K: -93 kJ/mol of formula units